Material: Pr3NdSm2Dy6
Method: DFT, PBE
State: optimized geometry

Formation enthalpy at 0 K in eV/atom: 0.0128
Crystal system: monoclinic

```
data_Pr3NdSm2Dy6
_chemical_formula_sum 'Pr6 Nd2 Sm4 Dy12'
_space_group_name_H-M_alt 'C 1 2/m 1'
_space_group_IT_number 12
_cell_length_a 6.271
_cell_length_b 10.860
_cell_length_c 11.873
_cell_angle_alpha 90.00
_cell_angle_beta 100.11
_cell_angle_gamma 90.00
loop_
_space_group_symop_operation_xyz
'x,y,z'
'-x,-y,-z'
'-x,y,-z'
'x,-y,z'
'x+1/2,y+1/2,z'
'-x+1/2,-y+1/2,-z'
'-x+1/2,y+1/2,-z'
'x+1/2,-y+1/2,z'
loop_
_atom_site_label
_atom_site_type_symbol
_atom_site_fract_x
_atom_site_fract_y
_atom_site_fract_z
Pr1 Pr 0.000 0.000 0.000
Pr2 Pr 0.000 0.333 0.000
Nd1 Nd 0.000 0.500 0.500
Sm1 Sm 0.000 0.167 0.500
Dy1 Dy 0.249 0.000 0.748
Dy2 Dy 0.250 0.167 0.252
```

Material: Pr3Nd2Sm6Dy
Method: DFT, PBE
State: optimized geometry

Formation enthalpy at 0 K in eV/atom: 0.0139
Crystal system: monoclinic

```
data_Pr3Nd2Sm6Dy
_chemical_formula_sum 'Pr6 Nd4 Sm12 Dy2'
_space_group_name_H-M_alt 'C 1 2/m 1'
_space_group_IT_number 12
_cell_length_a 6.329
_cell_length_b 10.961
_cell_length_c 12.109
_cell_angle_alpha 90.00
_cell_angle_beta 100.07
_cell_angle_gamma 90.00
loop_
_space_group_symop_operation_xyz
'x,y,z'
'-x,-y,-z'
'-x,y,-z'
'x,-y,z'
'x+1/2,y+1/2,z'
'-x+1/2,-y+1/2,-z'
'-x+1/2,y+1/2,-z'
'x+1/2,-y+1/2,z'
loop_
_atom_site_label
_atom_site_type_symbol
_atom_site_fract_x
_atom_site_fract_y
_atom_site_fract_z
Pr1 Pr 0.000 0.000 0.000
Pr2 Pr 0.000 0.333 0.000
Nd1 Nd 0.000 0.167 0.500
Sm1 Sm 0.249 0.334 0.748
Sm2 Sm 0.250 0.000 0.748
Dy1 Dy 0.000 0.500 0.500
```

Material: PrNd6Sm3Dy2
Method: DFT, PBE
State: optimized geometry

Formation enthalpy at 0 K in eV/atom: 0.0132
Crystal system: monoclinic

```
data_PrNd6Sm3Dy2
_chemical_formula_sum 'Pr2 Nd12 Sm6 Dy4'
_space_group_name_H-M_alt 'C 1 2/m 1'
_space_group_IT_number 12
_cell_length_a 6.325
_cell_length_b 10.954
_cell_length_c 12.072
_cell_angle_alpha 90.00
_cell_angle_beta 100.08
_cell_angle_gamma 90.00
loop_
_space_group_symop_operation_xyz
'x,y,z'
'-x,-y,-z'
'-x,y,-z'
'x,-y,z'
'x+1/2,y+1/2,z'
'-x+1/2,-y+1/2,-z'
'-x+1/2,y+1/2,-z'
'x+1/2,-y+1/2,z'
loop_
_atom_site_label
_atom_site_type_symbol
_atom_site_fract_x
_atom_site_fract_y
_atom_site_fract_z
Pr1 Pr 0.000 0.000 0.000
Nd1 Nd 0.249 0.333 0.751
Nd2 Nd 0.249 0.500 0.249
Sm1 Sm 0.000 0.167 0.500
Sm2 Sm 0.000 0.500 0.500
Dy1 Dy 0.000 0.333 0.000
```

Material: Pr2Nd3SmDy6
Method: DFT, PBE
State: optimized geometry

Formation enthalpy at 0 K in eV/atom: 0.0117
Crystal system: monoclinic

```
data_Pr2Nd3SmDy6
_chemical_formula_sum 'Pr4 Nd6 Sm2 Dy12'
_space_group_name_H-M_alt 'C 1 2/m 1'
_space_group_IT_number 12
_cell_length_a 6.274
_cell_length_b 10.866
_cell_length_c 11.873
_cell_angle_alpha 90.00
_cell_angle_beta 100.11
_cell_angle_gamma 90.00
loop_
_space_group_symop_operation_xyz
'x,y,z'
'-x,-y,-z'
'-x,y,-z'
'x,-y,z'
'x+1/2,y+1/2,z'
'-x+1/2,-y+1/2,-z'
'-x+1/2,y+1/2,-z'
'x+1/2,-y+1/2,z'
loop_
_atom_site_label
_atom_site_type_symbol
_atom_site_fract_x
_atom_site_fract_y
_atom_site_fract_z
Pr1 Pr 0.000 0.167 0.000
Nd1 Nd 0.000 0.000 0.500
Nd2 Nd 0.000 0.333 0.500
Sm1 Sm 0.000 0.500 0.000
Dy1 Dy 0.250 0.000 0.250
Dy2 Dy 0.250 0.167 0.750
```

Material: Pr2NdSm3Dy6
Method: DFT, PBE
State: optimized geometry

Formation enthalpy at 0 K in eV/atom: 0.0133
Crystal system: monoclinic

```
data_Pr2NdSm3Dy6
_chemical_formula_sum 'Pr4 Nd2 Sm6 Dy12'
_space_group_name_H-M_alt 'C 1 2/m 1'
_space_group_IT_number 12
_cell_length_a 6.256
_cell_length_b 10.835
_cell_length_c 11.863
_cell_angle_alpha 90.00
_cell_angle_beta 100.09
_cell_angle_gamma 90.00
loop_
_space_group_symop_operation_xyz
'x,y,z'
'-x,-y,-z'
'-x,y,-z'
'x,-y,z'
'x+1/2,y+1/2,z'
'-x+1/2,-y+1/2,-z'
'-x+1/2,y+1/2,-z'
'x+1/2,-y+1/2,z'
loop_
_atom_site_label
_atom_site_type_symbol
_atom_site_fract_x
_atom_site_fract_y
_atom_site_fract_z
Pr1 Pr 0.000 0.167 0.000
Nd1 Nd 0.000 0.500 0.000
Sm1 Sm 0.000 0.000 0.500
Sm2 Sm 0.000 0.333 0.500
Dy1 Dy 0.249 0.167 0.748
Dy2 Dy 0.249 0.500 0.748
```

Material: Pr2NdSm6Dy3
Method: DFT, PBE
State: optimized geometry

Formation enthalpy at 0 K in eV/atom: 0.0166
Crystal system: monoclinic

```
data_Pr2NdSm6Dy3
_chemical_formula_sum 'Pr4 Nd2 Sm12 Dy6'
_space_group_name_H-M_alt 'C 1 2/m 1'
_space_group_IT_number 12
_cell_length_a 6.285
_cell_length_b 10.886
_cell_length_c 12.018
_cell_angle_alpha 90.00
_cell_angle_beta 100.05
_cell_angle_gamma 90.00
loop_
_space_group_symop_operation_xyz
'x,y,z'
'-x,-y,-z'
'-x,y,-z'
'x,-y,z'
'x+1/2,y+1/2,z'
'-x+1/2,-y+1/2,-z'
'-x+1/2,y+1/2,-z'
'x+1/2,-y+1/2,z'
loop_
_atom_site_label
_atom_site_type_symbol
_atom_site_fract_x
_atom_site_fract_y
_atom_site_fract_z
Pr1 Pr 0.000 0.167 0.000
Nd1 Nd 0.000 0.500 0.000
Sm1 Sm 0.248 0.500 0.745
Sm2 Sm 0.249 0.167 0.746
Dy1 Dy 0.000 0.000 0.500
Dy2 Dy 0.000 0.333 0.500
```

Material: Pr4Nd2Sm2Dy
Method: DFT, PBE
State: optimized geometry

Formation enthalpy at 0 K in eV/atom: 0.0158
Crystal system: monoclinic

```
data_Pr4Nd2Sm2Dy
_chemical_formula_sum 'Pr8 Nd4 Sm4 Dy2'
_space_group_name_H-M_alt 'C 1 2/m 1'
_space_group_IT_number 12
_cell_length_a 19.074
_cell_length_b 3.666
_cell_length_c 9.007
_cell_angle_alpha 90.00
_cell_angle_beta 90.08
_cell_angle_gamma 90.00
loop_
_space_group_symop_operation_xyz
'x,y,z'
'-x,-y,-z'
'-x,y,-z'
'x,-y,z'
'x+1/2,y+1/2,z'
'-x+1/2,-y+1/2,-z'
'-x+1/2,y+1/2,-z'
'x+1/2,-y+1/2,z'
loop_
_atom_site_label
_atom_site_type_symbol
_atom_site_fract_x
_atom_site_fract_y
_atom_site_fract_z
Pr1 Pr 0.054 0.000 0.331
Pr2 Pr 0.223 0.500 0.332
Nd1 Nd 0.165 0.000 0.999
Sm1 Sm 0.111 0.500 0.668
Dy1 Dy 0.000 0.500 0.000
```

Material: Pr4Nd2SmDy2
Method: DFT, PBE
State: optimized geometry

Formation enthalpy at 0 K in eV/atom: 0.0175
Crystal system: monoclinic

```
data_Pr4Nd2SmDy2
_chemical_formula_sum 'Pr8 Nd4 Sm2 Dy4'
_space_group_name_H-M_alt 'C 1 2/m 1'
_space_group_IT_number 12
_cell_length_a 15.549
_cell_length_b 5.186
_cell_length_c 8.162
_cell_angle_alpha 90.00
_cell_angle_beta 108.56
_cell_angle_gamma 90.00
loop_
_space_group_symop_operation_xyz
'x,y,z'
'-x,-y,-z'
'-x,y,-z'
'x,-y,z'
'x+1/2,y+1/2,z'
'-x+1/2,-y+1/2,-z'
'-x+1/2,y+1/2,-z'
'x+1/2,-y+1/2,z'
loop_
_atom_site_label
_atom_site_type_symbol
_atom_site_fract_x
_atom_site_fract_y
_atom_site_fract_z
Pr1 Pr 0.055 0.000 0.331
Pr2 Pr 0.222 0.500 0.330
Nd1 Nd 0.112 0.500 0.670
Sm1 Sm 0.000 0.500 0.000
Dy1 Dy 0.167 0.000 0.000
```

Material: PrNd2Sm4Dy
Method: DFT, PBE
State: optimized geometry

Formation enthalpy at 0 K in eV/atom: 0.3837
Crystal system: monoclinic

```
data_PrNd2Sm4Dy
_chemical_formula_sum 'Pr4 Nd8 Sm16 Dy4'
_space_group_name_H-M_alt 'C 1 2/c 1'
_space_group_IT_number 15
_cell_length_a 13.805
_cell_length_b 13.427
_cell_length_c 6.930
_cell_angle_alpha 90.00
_cell_angle_beta 119.93
_cell_angle_gamma 90.00
loop_
_space_group_symop_operation_xyz
'x,y,z'
'-x,-y,-z'
'-x,y,-z+1/2'
'x,-y,z+1/2'
'x+1/2,y+1/2,z'
'-x+1/2,-y+1/2,-z'
'-x+1/2,y+1/2,-z+1/2'
'x+1/2,-y+1/2,z+1/2'
loop_
_atom_site_label
_atom_site_type_symbol
_atom_site_fract_x
_atom_site_fract_y
_atom_site_fract_z
Pr1 Pr 0.250 0.250 0.000
Nd1 Nd 0.000 0.000 0.000
Nd2 Nd 0.250 0.250 0.500
Sm1 Sm 0.000 0.255 0.001
Sm2 Sm 0.246 0.500 0.468
Dy1 Dy 0.000 0.500 0.000
```

Material: Pr2NdSm4Dy2
Method: DFT, PBE
State: optimized geometry

Formation enthalpy at 0 K in eV/atom: 0.0722
Crystal system: triclinic

```
data_Pr2NdSm4Dy2
_chemical_formula_sum 'Pr2 Nd1 Sm4 Dy2'
_space_group_name_H-M_alt 'P -1'
_space_group_IT_number 2
_cell_length_a 6.110
_cell_length_b 6.733
_cell_length_c 8.717
_cell_angle_alpha 80.05
_cell_angle_beta 70.79
_cell_angle_gamma 65.43
loop_
_space_group_symop_operation_xyz
'x,y,z'
'-x,-y,-z'
loop_
_atom_site_label
_atom_site_type_symbol
_atom_site_fract_x
_atom_site_fract_y
_atom_site_fract_z
Pr1 Pr 0.228 0.327 0.343
Nd1 Nd 0.500 0.000 0.000
Sm1 Sm 0.124 0.129 0.757
Sm2 Sm 0.237 0.581 0.884
Dy1 Dy 0.321 0.769 0.444
```

Number 1: E -4.67 eV/atom, V 796 Å³/cell. Number 2: E -4.72 eV/atom, V 827 Å³/cell. Number 3: E -4.72 eV/atom, V 824 Å³/cell. Number 4: E -4.67 eV/atom, V 797 Å³/cell. Number 5: E -4.66 eV/atom, V 792 Å³/cell. Number 6: E -4.69 eV/atom, V 810 Å³/cell. Number 7: E -4.73 eV/atom, V 630 Å³/cell. Number 8: E -4.71 eV/atom, V 624 Å³/cell. Number 9: E -4.34 eV/atom, V 1113 Å³/cell. Number 10: E -4.64 eV/atom, V 308 Å³/cell.